{"formula": "Cs2NbSiF6", "functional": "PBE", "state": "relaxed", "raw_formation_energy_ev_per_fu": -22.63, "magmom_total_mub_per_cell": 2.01, "lattice": [[-4.6612, -3.6683, 1.2600], [3.0362, -2.2252, 4.7540], [-3.1123, 1.1364, 6.3870]], "species": ["Cs", "F", "F", "F", "F", "Nb", "Si", "Cs", "F", "F"], "fractional_positions": [[0.2500, 0.7500, 0.5000], [0.7523, 0.2477, 0.0000], [0.1778, 0.1778, 0.6444], [0.7523, 0.7523, 0.0000], [0.2477, 0.2477, 0.0000], [0.0000, 0.0000, 0.0000], [0.5000, 0.5000, 0.0000], [0.7500, 0.2500, 0.5000], [0.8222, 0.8222, 0.3556], [0.2477, 0.7523, 0.0000]]}


{"formula": "Cs2SrNbF6", "functional": "PBE", "state": "relaxed", "raw_formation_energy_ev_per_fu": -28.49, "magmom_total_mub_per_cell": 3.00, "lattice": [[-0.5837, 6.3145, 1.7956], [-6.1659, 0.0915, -2.3262], [-4.9683, 1.8695, 3.9061]], "species": ["Cs", "Cs", "F", "Nb", "F", "F", "F", "Sr", "F", "F"], "fractional_positions": [[0.7500, 0.2500, 0.5000], [0.2500, 0.7500, 0.5000], [0.2416, 0.2416, 0.5167], [0.0000, 0.0000, 0.0000], [0.7584, 0.2416, 0.0000], [0.2416, 0.7584, 0.0000], [0.7584, 0.7584, 0.4833], [0.5000, 0.5000, 0.0000], [0.2416, 0.2416, 0.0000], [0.7584, 0.7584, 0.0000]]}


{"formula": "Cs2NbTlF6", "functional": "PBE", "state": "relaxed", "polymorph_energy_mev_per_atom": 16, "raw_formation_energy_ev_per_fu": -25.35, "magmom_total_mub_per_cell": 4.00, "lattice": [[7.0571, 0.0000, 0.0000], [3.5285, 6.1116, 0.0000], [3.5285, 2.0372, 10.7582]], "species": ["F", "F", "Nb", "F", "F", "Tl", "F", "F", "Cs", "F", "Cs", "F", "F", "F", "Cs", "Cs", "F", "Nb", "F", "Tl"], "fractional_positions": [[0.1610, 0.6199, 0.5993], [0.6199, 0.1610, 0.5993], [0.5000, 0.5000, 0.5000], [0.3801, 0.8390, 0.4007], [0.7764, 0.1726, 0.8783], [0.3995, 0.3995, 0.8015], [0.2236, 0.8274, 0.1217], [0.1726, 0.1726, 0.8783], [0.1305, 0.1305, 0.6085], [0.8274, 0.2236, 0.1217], [0.2652, 0.2652, 0.2043], [0.3801, 0.3801, 0.4007], [0.6199, 0.6199, 0.5993], [0.8390, 0.3801, 0.4007], [0.7348, 0.7348, 0.7957], [0.8695, 0.8695, 0.3915], [0.1726, 0.7764, 0.8783], [0.0000, 0.0000, 0.0000], [0.8274, 0.8274, 0.1217], [0.6005, 0.6005, 0.1985]]}